## Li2TlIn (PBE)

Data for an optimized crystal structure of Li2TlIn.

Output
- Energy of formation from the pure elements: -238 meV/atom
- Volume: 81.4 Å³/f.u.
- Total energy: -2.47 eV per atom
- Symmetry: P4/mmm, No. 123

POSCAR file:
```
Li2TlIn
1.0
-2.020 -2.765 0.684
2.822 -1.834 0.920
-0.707 2.078 6.312
Tl Li In
1 2 1
direct
0.500 0.500 0.250 Tl
0.000 0.000 0.999 Li
0.000 0.000 0.501 Li
0.500 0.500 0.750 In
```

***

## HfTl2Zn (PBE)

Data for an optimized crystal structure of HfTl2Zn.

Output
- Energy of formation from the pure elements: 418 meV/atom
- Volume: 92.1 Å³/f.u.
- Total energy: -3.57 eV per atom
- Energy relative to the lowest polymorph listed for this composition: 77 meV/atom
- Symmetry: Fm-3m, No. 225

POSCAR file:
```
HfTl2Zn
1.0
2.144 2.293 3.981
-2.509 0.324 4.393
1.512 -2.737 3.990
Tl Hf Zn
2 1 1
direct
0.250 0.250 0.250 Tl
0.750 0.750 0.750 Tl
0.500 0.500 0.500 Hf
0.000 0.000 0.000 Zn
```

***

## CrB6H16 (PBE)

Data for an optimized crystal structure of CrB6H16.

Output
- Volume: 198.7 Å³/f.u.
- Total energy: -4.53 eV per atom
- Energy relative to the lowest polymorph listed for this composition: 0 meV/atom
- Symmetry: P-1, No. 2

POSCAR file:
```
CrB6H16
1.0
4.381 -0.019 -0.033
-2.146 5.386 -0.005
-0.428 -2.791 8.448
Cr B H
1 6 16
direct
0.000 0.500 0.500 Cr
0.305 0.612 0.301 B
0.695 0.388 0.699 B
0.103 0.329 0.126 B
0.263 0.307 0.310 B
0.897 0.671 0.874 B
0.737 0.693 0.690 B
0.259 0.305 0.020 H
0.413 0.228 0.673 H
0.524 0.285 0.339 H
0.127 0.713 0.378 H
0.883 0.879 0.818 H
0.476 0.715 0.661 H
0.873 0.287 0.622 H
0.184 0.603 0.166 H
0.196 0.754 0.909 H
0.741 0.695 0.980 H
0.804 0.246 0.091 H
0.069 0.209 0.397 H
0.931 0.791 0.603 H
0.117 0.121 0.182 H
0.816 0.397 0.834 H
0.587 0.772 0.327 H
```